Below is a geometry-optimized MnGaAs2O8 structure, with properties calculated at the PBE with a Hubbard U level.

```
MnGaAs2O8
1.0
5.563 0.272 0.000
-2.224 5.107 0.000
-1.670 -2.689 4.583
Mn Ga As O
1 1 2 8
Direct
0.250 0.750 0.500 Mn
0.000 0.000 0.000 Ga
0.750 0.250 0.500 As
0.500 0.500 0.000 As
0.370 0.066 0.304 O
0.311 0.502 0.192 O
0.311 0.119 0.808 O
0.761 0.066 0.696 O
0.881 0.689 0.192 O
0.934 0.239 0.304 O
0.934 0.630 0.696 O
0.498 0.689 0.808 O
```

Results
raw total energy = -73.94 eV per cell
N(E_F) = 0.21 states/eV per atom